{
  "formula": "AlPbSe",
  "functional": "PBE",
  "state": "relaxed",
  "cell": [[0.000, 3.100, 6.528], [1.935, 0.000, 6.528], [1.935, 3.100, 0.000]],
  "species": ["Al", "Pb", "Se"],
  "fractional_positions": [[0.000, 0.000, 0.000], [0.318, 0.318, 0.682], [0.614, 0.614, 0.386]],
  "raw_formation_energy_ev_per_atom": -0.10,
  "de_polymorph_ev_per_atom": 0.2188,
  "crystal_system": "orthorhombic",
  "volume_a3_per_cell": 78.3
}